[1]
DFT (PBE) results for a relaxed structure of Li2Ca.

Structure (CIF):
```
data_Li2Ca
_chemical_formula_sum 'Li4 Ca2'
_cell_length_a 5.484
_cell_length_b 5.484
_cell_length_c 6.503
_cell_angle_alpha 90.00
_cell_angle_beta 90.00
_cell_angle_gamma 120.00
_space_group_name_H-M_alt 'P 1'
_space_group_IT_number 1
_space_group_name_Hall 'P 1'
loop_
_atom_site_label
_atom_site_type_symbol
_atom_site_fract_x
_atom_site_fract_y
_atom_site_fract_z
Ca1 Ca 0.333 0.667 0.250
Ca2 Ca 0.667 0.333 0.750
Li1 Li 0.000 0.000 0.000
Li2 Li 0.000 0.000 0.500
Li3 Li 0.333 0.667 0.750
Li4 Li 0.667 0.333 0.250
```

Results
Space-group type ... P6_3/mmc, No. 194
D(E_F) ... 0.717 states/eV/atom
ρ ... 1.1 Mg/m³
E ... -1.8757 eV per atom

[2]
DFT (PBE) results for a relaxed structure of Dy2HoEr5.

Structure (CIF):
```
data_Dy2HoEr5
_chemical_formula_sum 'Dy4 Ho2 Er10'
_cell_length_a 4.957
_cell_length_b 7.017
_cell_length_c 14.034
_cell_angle_alpha 90.00
_cell_angle_beta 90.00
_cell_angle_gamma 90.00
_space_group_name_H-M_alt 'P 1'
_space_group_IT_number 1
_space_group_name_Hall 'P 1'
loop_
_atom_site_label
_atom_site_type_symbol
_atom_site_fract_x
_atom_site_fract_y
_atom_site_fract_z
Dy1 Dy 0.500 0.250 0.625
Dy2 Dy 0.500 0.750 0.375
Dy3 Dy 0.500 0.250 0.125
Dy4 Dy 0.500 0.750 0.875
Ho1 Ho 0.000 0.000 0.500
Ho2 Ho 0.000 0.500 0.000
Er1 Er 0.000 0.000 0.000
Er2 Er 0.000 0.500 0.500
Er3 Er 0.000 0.500 0.750
Er4 Er 0.000 0.500 0.250
Er5 Er 0.000 0.000 0.250
Er6 Er 0.000 0.000 0.750
Er7 Er 0.500 0.250 0.875
Er8 Er 0.500 0.750 0.125
Er9 Er 0.500 0.250 0.375
Er10 Er 0.500 0.750 0.625
```

Results
Space-group type ... Pbam, No. 55
D(E_F) ... 1.141 states/eV/atom
ρ ... 9.0 Mg/m³
E ... -4.5564 eV per atom

[3]
DFT (PBE) results for a relaxed structure of LiCeDy2.

Structure (CIF):
```
data_LiCeDy2
_chemical_formula_sum 'Li1 Ce1 Dy2'
_cell_length_a 3.581
_cell_length_b 3.581
_cell_length_c 8.597
_cell_angle_alpha 90.00
_cell_angle_beta 90.00
_cell_angle_gamma 90.00
_space_group_name_H-M_alt 'P 1'
_space_group_IT_number 1
_space_group_name_Hall 'P 1'
loop_
_atom_site_label
_atom_site_type_symbol
_atom_site_fract_x
_atom_site_fract_y
_atom_site_fract_z
Li1 Li 0.500 0.500 0.000
Ce1 Ce 0.500 0.500 0.500
Dy1 Dy 0.000 0.000 0.770
Dy2 Dy 0.000 0.000 0.230
```

Results
Space-group type ... P4/mmm, No. 123
D(E_F) ... 1.627 states/eV/atom
ρ ... 7.1 Mg/m³
E ... -4.1572 eV per atom

| no. | ΔE_f (eV per atom) |
| --- | --- |
| 1 | 0.07 |
| 2 | 0.02 |
| 3 | 0.11 |